w.
Below is a relaxed structure of LiScPdPb, with properties calculated at the PBE level.

Cell: 4.689 4.689 6.629 Å, 90.00 90.00 90.00°
Positions (direct):
Li1 0.000 0.500 0.249
Li2 0.500 0.000 0.751
Pb1 0.500 0.500 0.000
Pb2 0.000 0.000 0.500
Pd1 0.500 0.000 0.250
Pd2 0.000 0.500 0.750
Sc1 0.000 0.000 0.000
Sc2 0.500 0.500 0.500

Properties
Its symmetry is P-4m2 (115). The total moment is 0.00 Bohr magnetons per cell.

x.
Below is a relaxed structure of LiScPdPb, with properties calculated at the PBE level.

Cell: 4.764 4.764 4.764 Å, 60.00 60.00 60.00°
Positions (direct):
Li1 0.750 0.750 0.750
Pb1 0.000 0.000 0.000
Pd1 0.500 0.500 0.500
Sc1 0.250 0.250 0.250

Properties
Its symmetry is F-43m (216). The total moment is 0.00 Bohr magnetons per cell.

y.
Below is a relaxed structure of LiScPdPb, with properties calculated at the PBE level.

Cell: 4.729 4.729 4.729 Å, 60.00 60.00 60.00°
Positions (direct):
Li1 0.750 0.750 0.750
Pb1 0.250 0.250 0.250
Pd1 0.500 0.500 0.500
Sc1 0.000 0.000 0.000

Properties
Its symmetry is F-43m (216). The total moment is 0.00 Bohr magnetons per cell.

Stability, highest: w

w.
Below is a relaxed structure of LiSmPbSe3, with properties calculated at the PBE level.

Cell: 9.197 9.197 8.728 Å, 103.75 103.75 26.10°
Positions (direct):
Li1 0.502 0.502 0.198
Li2 0.498 0.498 0.802
Pb1 0.868 0.868 0.434
Pb2 0.132 0.132 0.566
Se1 0.000 0.000 0.000
Se2 0.334 0.334 0.145
Se3 0.675 0.675 0.327
Se4 0.500 0.500 0.500
Se5 0.325 0.325 0.673
Se6 0.666 0.666 0.855
Sm1 0.166 0.166 0.092
Sm2 0.834 0.834 0.908

Properties
Its symmetry is C2/m (12). The total moment is 0.00 Bohr magnetons per cell.

x.
Below is a relaxed structure of LiSmPbSe3, with properties calculated at the PBE level.

Cell: 7.072 7.072 10.995 Å, 90.00 90.00 145.53°
Positions (direct):
Li1 0.978 0.022 0.250
Li2 0.022 0.978 0.750
Pb1 0.258 0.742 0.250
Pb2 0.742 0.258 0.750
Se1 0.861 0.139 0.071
Se2 0.584 0.416 0.250
Se3 0.861 0.139 0.429
Se4 0.139 0.861 0.571
Se5 0.416 0.584 0.750
Se6 0.139 0.861 0.929
Sm1 0.500 0.500 0.000
Sm2 0.500 0.500 0.500

Properties
Its symmetry is Cmcm (63). The total moment is 0.00 Bohr magnetons per cell.

Stability, highest: w

w.
Below is a relaxed structure of LiTbPbSe3, with properties calculated at the PBE level.

Cell: 7.067 7.067 10.800 Å, 90.00 90.00 145.79°
Positions (direct):
Li1 0.524 0.476 0.250
Li2 0.476 0.524 0.750
Pb1 0.244 0.756 0.250
Pb2 0.756 0.244 0.750
Se1 0.638 0.362 0.067
Se2 0.918 0.082 0.250
Se3 0.638 0.362 0.433
Se4 0.362 0.638 0.567
Se5 0.082 0.918 0.750
Se6 0.362 0.638 0.933
Tb1 0.000 0.000 0.000
Tb2 0.000 0.000 0.500

Properties
Its symmetry is Cmcm (63). The total moment is 0.01 Bohr magnetons per cell.

x.
Below is a relaxed structure of LiTbPbSe3, with properties calculated at the PBE level.

Cell: 9.103 9.103 8.693 Å, 103.62 103.62 26.10°
Positions (direct):
Li1 0.502 0.502 0.197
Li2 0.498 0.498 0.803
Pb1 0.867 0.867 0.436
Pb2 0.133 0.133 0.564
Se1 0.000 0.000 0.000
Se2 0.333 0.333 0.144
Se3 0.675 0.675 0.321
Se4 0.500 0.500 0.500
Se5 0.325 0.325 0.679
Se6 0.667 0.667 0.856
Tb1 0.166 0.166 0.089
Tb2 0.834 0.834 0.911

Properties
Its symmetry is C2/m (12). The total moment is 0.00 Bohr magnetons per cell.

Stability, highest: x

w.
Below is a relaxed structure of LiTmTe3Pb, with properties calculated at the PBE level.

Cell: 9.715 9.715 9.209 Å, 103.19 103.19 25.74°
Positions (direct):
Li1 0.493 0.493 0.301
Li2 0.507 0.507 0.699
Pb1 0.134 0.134 0.064
Pb2 0.866 0.866 0.936
Te1 0.500 0.500 0.000
Te2 0.322 0.322 0.179
Te3 0.670 0.670 0.354
Te4 0.000 0.000 0.500
Te5 0.330 0.330 0.646
Te6 0.678 0.678 0.821
Tm1 0.835 0.835 0.415
Tm2 0.165 0.165 0.585

Properties
Its symmetry is C2/m (12). The total moment is 0.01 Bohr magnetons per cell.

x.
Below is a relaxed structure of LiTmTe3Pb, with properties calculated at the PBE level.

Cell: 7.565 7.565 11.273 Å, 90.00 90.00 146.38°
Positions (direct):
Li1 0.526 0.474 0.250
Li2 0.474 0.526 0.750
Pb1 0.242 0.758 0.250
Pb2 0.758 0.242 0.750
Te1 0.641 0.359 0.060
Te2 0.914 0.086 0.250
Te3 0.641 0.359 0.440
Te4 0.359 0.641 0.560
Te5 0.086 0.914 0.750
Te6 0.359 0.641 0.940
Tm1 0.000 0.000 0.000
Tm2 0.000 0.000 0.500

Properties
Its symmetry is Cmcm (63). The total moment is 0.00 Bohr magnetons per cell.

Stability, highest: w

w.
Below is a relaxed structure of Li2Pd, with properties calculated at the PBE level.

Cell: 2.782 3.800 4.594 Å, 65.64 72.47 89.99°
Positions (direct):
Li1 0.160 0.160 0.180
Li2 0.840 0.840 0.820
Pd1 0.500 0.500 0.500

Properties
Its symmetry is C2/m (12).

x.
Below is a relaxed structure of Li2Pd, with properties calculated at the PBE level.

Cell: 4.161 4.161 4.161 Å, 60.00 60.00 60.00°
Positions (direct):
Li1 0.250 0.250 0.250
Li2 0.750 0.750 0.750
Pd1 0.000 0.000 0.000

Properties
Its symmetry is Fm-3m (225).

y.
Below is a relaxed structure of Li2Pd, with properties calculated at the PBE level.

Cell: 4.802 4.802 4.802 Å, 120.00 119.99 90.01°
Positions (direct):
Li1 0.500 0.000 0.000
Li2 0.500 0.500 0.000
Li3 0.000 0.500 0.500
Li4 0.500 0.500 0.500
Pd1 0.125 0.875 0.250
Pd2 0.875 0.125 0.750

Properties
Its symmetry is Fd-3m (227).

Stability, highest: w

w.
Below is a relaxed structure of LiPrPd, with properties calculated at the PBE level.

Cell: 4.770 4.770 4.770 Å, 60.00 60.00 60.00°
Positions (direct):
Li1 0.500 0.500 0.500
Pd1 0.250 0.250 0.250
Pr1 0.000 0.000 0.000

Properties
Its symmetry is F-43m (216). The total moment is 0.00 Bohr magnetons per cell.

x.
Below is a relaxed structure of LiPrPd, with properties calculated at the PBE level.

Cell: 4.790 4.790 4.790 Å, 60.00 60.00 60.00°
Positions (direct):
Li1 0.250 0.250 0.250
Pd1 0.750 0.750 0.750
Pr1 0.000 0.000 0.000

Properties
Its symmetry is F-43m (216). The total moment is 0.00 Bohr magnetons per cell.

Stability, highest: w

w.
Below is a relaxed structure of RbLiTePd, with properties calculated at the PBE level.

Cell: 5.112 5.112 5.112 Å, 60.00 60.00 60.00°
Positions (direct):
Li1 0.750 0.750 0.750
Pd1 0.250 0.250 0.250
Rb1 0.500 0.500 0.500
Te1 0.000 0.000 0.000

Properties
Its symmetry is F-43m (216).

x.
Below is a relaxed structure of RbLiTePd, with properties calculated at the PBE level.

Cell: 5.183 5.183 5.183 Å, 60.00 60.00 60.00°
Positions (direct):
Li1 0.750 0.750 0.750
Pd1 0.000 0.000 0.000
Rb1 0.500 0.500 0.500
Te1 0.250 0.250 0.250

Properties
Its symmetry is F-43m (216).

y.
Below is a relaxed structure of RbLiTePd, with properties calculated at the PBE level.

Cell: 5.344 5.344 5.344 Å, 60.00 60.00 60.00°
Positions (direct):
Li1 0.750 0.750 0.750
Pd1 0.500 0.500 0.500
Rb1 0.250 0.250 0.250
Te1 0.000 0.000 0.000

Properties
Its symmetry is F-43m (216).

Stability, highest: w

w.
Below is a relaxed structure of RbLiPdW, with properties calculated at the PBE level.

Cell: 4.735 4.735 4.735 Å, 60.00 60.00 60.00°
Positions (direct):
Li1 0.750 0.750 0.750
Pd1 0.000 0.000 0.000
Rb1 0.500 0.500 0.500
W1 0.250 0.250 0.250

Properties
Its symmetry is F-43m (216). The total moment is 0.01 Bohr magnetons per cell.

x.
Below is a relaxed structure of RbLiPdW, with properties calculated at the PBE level.

Cell: 5.059 5.059 5.059 Å, 60.00 60.00 60.00°
Positions (direct):
Li1 0.750 0.750 0.750
Pd1 0.500 0.500 0.500
Rb1 0.250 0.250 0.250
W1 0.000 0.000 0.000

Properties
Its symmetry is F-43m (216). The total moment is 4.26 Bohr magnetons per cell.

Stability, highest: w

w.
Below is a relaxed structure of LiZrPdS3, with properties calculated at the PBE level.

Cell: 12.281 3.634 10.084 Å, 90.00 90.00 90.00°
Positions (direct):
Li1 0.270 0.250 0.082
Li2 0.770 0.250 0.418
Li3 0.230 0.750 0.582
Li4 0.730 0.750 0.918
Pd1 0.529 0.750 0.095
Pd2 0.029 0.750 0.405
Pd3 0.971 0.250 0.595
Pd4 0.471 0.250 0.905
S1 0.113 0.750 0.051
S2 0.644 0.250 0.140
S3 0.366 0.750 0.240
S4 0.866 0.750 0.260
S5 0.144 0.250 0.360
S6 0.613 0.750 0.449
S7 0.387 0.250 0.551
S8 0.856 0.750 0.640
S9 0.134 0.250 0.740
S10 0.634 0.250 0.760
S11 0.356 0.750 0.860
S12 0.887 0.250 0.949
Zr1 0.998 0.250 0.176
Zr2 0.498 0.250 0.324
Zr3 0.502 0.750 0.676
Zr4 0.002 0.750 0.824

Properties
Its symmetry is Pnma (62). The total moment is 0.05 Bohr magnetons per cell.

x.
Below is a relaxed structure of LiZrPdS3, with properties calculated at the PBE level.

Cell: 6.655 6.655 9.817 Å, 90.00 90.00 148.79°
Positions (direct):
Li1 0.287 0.713 0.250
Li2 0.713 0.287 0.750
Pd1 0.979 0.021 0.250
Pd2 0.021 0.979 0.750
S1 0.860 0.140 0.060
S2 0.601 0.399 0.250
S3 0.860 0.140 0.440
S4 0.140 0.860 0.560
S5 0.399 0.601 0.750
S6 0.140 0.860 0.940
Zr1 0.500 0.500 0.000
Zr2 0.500 0.500 0.500

Properties
Its symmetry is Cmcm (63). The total moment is 0.01 Bohr magnetons per cell.

Stability, highest: w

w.
Below is a relaxed structure of LiScSiPd, with properties calculated at the PBE level.

Cell: 4.395 4.395 4.395 Å, 60.00 60.00 60.00°
Positions (direct):
Li1 0.750 0.750 0.750
Pd1 0.500 0.500 0.500
Sc1 0.000 0.000 0.000
Si1 0.250 0.250 0.250

Properties
Its symmetry is F-43m (216). The total moment is 0.00 Bohr magnetons per cell.

x.
Below is a relaxed structure of LiScSiPd, with properties calculated at the PBE level.

Cell: 4.385 4.385 6.201 Å, 90.00 90.00 90.00°
Positions (direct):
Li1 0.000 0.000 0.000
Li2 0.500 0.500 0.500
Pd1 0.500 0.500 0.000
Pd2 0.000 0.000 0.500
Sc1 0.000 0.500 0.249
Sc2 0.500 0.000 0.751
Si1 0.500 0.000 0.250
Si2 0.000 0.500 0.750

Properties
Its symmetry is F-43m (216). The total moment is 0.00 Bohr magnetons per cell.

y.
Below is a relaxed structure of LiScSiPd, with properties calculated at the PBE level.

Cell: 4.484 4.484 4.484 Å, 60.00 60.00 60.00°
Positions (direct):
Li1 0.750 0.750 0.750
Pd1 0.000 0.000 0.000
Sc1 0.250 0.250 0.250
Si1 0.500 0.500 0.500

Properties
Its symmetry is F-43m (216). The total moment is 0.00 Bohr magnetons per cell.

Stability, highest: x

w.
Below is a relaxed structure of LiScSnPd, with properties calculated at the PBE level.

Cell: 4.659 4.659 4.659 Å, 60.00 60.00 60.00°
Positions (direct):
Li1 0.750 0.750 0.750
Pd1 0.500 0.500 0.500
Sc1 0.000 0.000 0.000
Sn1 0.250 0.250 0.250

Properties
Its symmetry is F-43m (216). The total moment is 0.00 Bohr magnetons per cell.

x.
Below is a relaxed structure of LiScSnPd, with properties calculated at the PBE level.

Cell: 4.613 4.613 4.613 Å, 60.00 60.00 60.00°
Positions (direct):
Li1 0.500 0.500 0.500
Pd1 0.000 0.000 0.000
Sc1 0.250 0.250 0.250
Sn1 0.750 0.750 0.750

Properties
Its symmetry is F-43m (216). The total moment is 0.00 Bohr magnetons per cell.

Stability, highest: x